(1)
Hf4TcO | GGA-PBE | relaxed

Output
DFT total energy = -10.059 eV/atom

Lattice parameters (Å, degrees): 5.8504 5.9081 6.3844 90.00 100.92 90.00
Closest atoms and distances in Å follow each position.
Space group P2_1/c (No. 14)
One atom of each set of equivalent atoms:
Hf (0.1122, 0.1566, 0.1835) [4 per cell]  2 O 2.37-2.42
Hf (0.3384, 0.6394, 0.1194) [4 per cell]  1 O 2.15
Tc (0.5000, 0.0000, 0.0000) [2 per cell]  4 Hf 2.51-2.57
O (0.0000, 0.0000, 0.5000) [2 per cell]  4 Hf 2.15-2.37



(2)
Ca3InH | GGA-PBE | relaxed

Output
relative energy among the computed polymorphs = 0.0 meV/atom
DFT total energy = -2.785 eV/atom

Lattice parameters (Å, degrees): 4.9896 4.9896 4.9896 90.00 90.00 90.00
Closest atoms and distances in Å follow each position.
Space group Pm-3m (No. 221)
One atom of each set of equivalent atoms:
Ca (0.0000, 0.0000, 0.5000) [3 per cell]  2 H 2.49
In (0.5000, 0.5000, 0.5000) [1 per cell]  12 Ca 3.53
H (0.0000, 0.0000, 0.0000) [1 per cell]  6 Ca 2.49



(3)
TlCl3 | GGA-PBE | relaxed

Output
DFT total energy = -2.085 eV/atom

Lattice parameters (Å, degrees): 7.3062 7.3062 7.3062 90.00 90.00 90.00
Closest atoms and distances in Å follow each position.
Space group Fm-3m (No. 225)
One atom of each set of equivalent atoms:
Tl (0.0000, 0.0000, 0.0000) [4 per cell]  8 Cl 3.16
Cl (0.0000, 0.0000, 0.5000) [4 per cell]  8 Cl 3.16
Cl (0.2500, 0.2500, 0.2500) [8 per cell]  4 Tl 3.16, 4 Cl 3.16